Crystalline K2InW at its relaxed geometry, computed with GGA-PBE.

a b c (Å): 9.6870 9.6870 7.4494
angles (deg): 49.44 49.44 90.00
Last column: nearest neighbours and their distance in Å.
Fractional coordinates of all 8 atoms:
K 0.6367 0.1250 0.2500  2 K 2.94
K 0.1133 0.6250 0.2500  2 K 2.94
W 0.0000 0.0000 0.0000  2 In 2.93
In 0.5000 0.5000 0.0000  2 W 2.93
K 0.8750 0.8867 0.7500  2 K 2.94
In 0.2500 0.7500 0.5000  2 W 2.93
K 0.3750 0.3633 0.7500  2 K 2.94
W 0.7500 0.2500 0.5000  2 In 2.93

## Properties
calculated total energy = -24.5 eV/cell
V = 34.348 Å³/atom
space group = No. 122
energy of formation = 1.409 eV/atom